Entry 1:
Material: Rb2LaZn2O4
Method: DFT, PBE-GGA
State: optimized geometry

Results
- Fermi-level density of states: 1.5 states/eV/f.u.
- E: -4.925 eV/atom
- Crystal system: monoclinic
- Formation energy (no corrections): -1.68 eV per atom

Cell and atoms, written as extended XYZ:
```
9
Lattice="3.565 0.000 0.000 0.000 6.920 0.368 -1.782 -2.400 6.899" Properties=species:S:1:pos:R:3 pbc="T T T"
Rb 0.000 3.268 2.050
Rb 1.782 1.252 5.216
La 0.000 0.000 0.000
Zn 1.782 -0.668 2.555
Zn 0.000 5.188 4.711
O 0.000 0.420 2.501
O 1.782 4.100 4.765
O 1.782 5.432 1.035
O 0.000 -0.913 6.231
```

---

Entry 2:
Material: Rb4La3ZrO8
Method: DFT, PBE-GGA
State: optimized geometry

Results
- Fermi-level density of states: 4.6 states/eV/f.u.
- E: -6.691 eV/atom
- Crystal system: trigonal
- Formation energy (no corrections): -2.51 eV per atom

Cell and atoms, written as extended XYZ:
```
16
Lattice="7.306 0.000 0.000 0.000 7.827 0.353 -3.653 -3.644 5.173" Properties=species:S:1:pos:R:3 pbc="T T T"
Rb 3.653 0.000 0.000
Rb 1.827 -1.822 2.586
Rb 0.000 0.000 0.000
Rb -1.827 -1.822 2.586
La 3.653 3.913 0.177
La 1.827 2.091 2.763
La -1.827 2.091 2.763
Zr 0.000 3.913 0.177
O -2.011 1.746 5.230
O 0.000 3.751 2.382
O 0.000 0.515 2.943
O 2.011 1.746 5.230
O 1.642 2.437 0.297
O 3.653 3.667 2.583
O 3.653 0.431 3.144
O 5.664 2.437 0.297
```

---

Entry 3:
Material: LaRe2O
Method: DFT, PBE-GGA
State: optimized geometry

Results
- Fermi-level density of states: 5.3 states/eV/f.u.
- E: -8.508 eV/atom
- Crystal system: tetragonal
- Formation energy (no corrections): 0.19 eV per atom

Cell and atoms, written as extended XYZ:
```
8
Lattice="-2.324 -3.705 2.373 -0.284 -2.551 -4.262 4.544 -5.960 0.360" Properties=species:S:1:pos:R:3 pbc="T T T"
Re 0.226 -3.203 0.450
Re 0.090 -4.469 -1.687
Re 2.359 -7.451 -1.499
Re 1.196 -9.310 -0.323
O -1.304 -3.128 -0.945
O 1.478 -5.820 -2.424
La 0.000 0.000 0.000
La 0.458 -6.397 0.894
```

---

Entry 4:
Material: La4Re6O19
Method: DFT, PBE-GGA
State: optimized geometry

Results
- Fermi-level density of states: 2.3 states/eV/f.u.
- E: -8.733 eV/atom
- Crystal system: cubic
- Formation energy (no corrections): -2.23 eV per atom

Cell and atoms, written as extended XYZ:
```
29
Lattice="-3.971 -6.482 2.232 4.929 2.205 5.798 -5.125 5.858 -1.480" Properties=species:S:1:pos:R:3 pbc="T T T"
Re -0.729 -2.221 4.115
Re 0.407 0.823 5.601
Re 0.029 3.464 3.225
Re -4.574 0.758 0.949
Re -4.197 -1.883 3.325
Re -3.439 3.802 2.435
O 0.000 0.000 0.000
O 1.849 -0.240 4.730
O -6.041 1.930 1.615
O -0.977 -0.545 5.170
O -1.947 -3.088 5.432
O -4.194 -2.494 1.429
O 0.088 1.548 3.768
O -2.252 -1.542 3.025
O 0.258 4.091 5.102
O -1.920 3.329 3.635
O -2.924 -0.201 0.242
O 0.308 -1.375 2.581
O -0.133 5.472 2.930
O 0.650 -2.902 5.449
O -0.063 2.592 1.388
O -6.173 -0.423 0.510
O -3.166 2.017 1.584
O -2.215 4.464 1.008
O -4.487 0.018 2.801
La -1.243 -2.029 0.699
La -2.863 1.086 4.500
La 1.543 0.690 1.815
La -1.604 1.834 -0.463
```

---

Entry 5:
Material: La3ReO7
Method: DFT, PBE-GGA
State: optimized geometry

Results
- Fermi-level density of states: 4.2 states/eV/f.u.
- E: -8.500 eV/atom
- Crystal system: orthorhombic
- Formation energy (no corrections): -2.87 eV per atom

Cell and atoms, written as extended XYZ:
```
22
Lattice="6.774 0.029 0.000 -2.319 6.365 0.000 0.000 0.000 7.771" Properties=species:S:1:pos:R:3 pbc="T T T"
La 2.214 3.177 3.886
La 2.241 3.216 0.000
La 1.268 6.377 1.948
La 3.187 0.017 5.834
La 5.543 3.398 5.823
La -1.088 2.996 1.938
Re 0.001 0.001 3.886
Re 4.454 6.392 0.000
O 2.518 5.957 4.079
O 1.937 0.437 0.194
O 4.716 4.425 3.692
O -0.261 1.968 7.578
O -0.247 1.981 4.070
O 4.702 4.413 0.184
O 1.944 0.455 3.701
O 2.511 5.939 7.587
O 1.051 4.017 1.943
O 3.404 2.377 5.828
O 3.445 2.348 1.943
O 1.010 4.045 5.828
O 6.337 0.333 1.943
O -1.882 6.060 5.828
```

---

Entry 6:
Material: LaRe3O
Method: DFT, PBE-GGA
State: optimized geometry

Results
- Excess energy over the best structure of this formula in the dataset: 15.63 eV/f.u.
- Fermi-level density of states: 11.5 states/eV/f.u.
- E: -5.686 eV/atom
- Crystal system: cubic
- Formation energy (no corrections): 3.76 eV per atom

Cell and atoms, written as extended XYZ:
```
5
Lattice="-3.454 2.051 2.648 -3.034 -0.305 -3.722 -1.419 -4.342 1.512" Properties=species:S:1:pos:R:3 pbc="T T T"
Re -1.517 -0.152 -1.861
Re -0.709 -2.171 0.756
Re -1.727 1.025 1.324
O -3.953 -1.298 0.219
La 0.000 0.000 0.000
```